Entry 1:
The following is a DFT calculation (GGA-PBE) of a relaxed Cs2Dy2HfTe6 crystal.

Energy relative to the elements, uncorrected (eV/atom): -1.2379

abc: 7.5397 7.5397 9.5362
angles: 98.00 98.00 119.81
Last column: nearest neighbours and their distance in Å.
Fractional positions:
Cs (0.1713, 0.8287, 0.0000)  6 Te 3.81-3.85
Cs (0.8287, 0.1713, 0.0000)  6 Te 3.81-3.85
Dy (0.3321, 0.6679, 0.5000)  6 Te 3.09-3.10
Dy (0.6679, 0.3321, 0.5000)  6 Te 3.09-3.10
Hf (0.0000, 0.0000, 0.5000)  6 Te 2.93-2.94
Te (0.0683, 0.3823, 0.6868)  1 Hf 2.93, 2 Dy 3.09-3.10
Te (0.2531, 0.2531, 0.3153)  1 Hf 2.94, 2 Dy 3.09
Te (0.3823, 0.0683, 0.6868)  1 Hf 2.93, 2 Dy 3.09-3.10
Te (0.6177, 0.9317, 0.3132)  1 Hf 2.93, 2 Dy 3.09-3.10
Te (0.7469, 0.7469, 0.6847)  1 Hf 2.94, 2 Dy 3.09
Te (0.9317, 0.6177, 0.3132)  1 Hf 2.93, 2 Dy 3.09-3.10

***

Entry 2:
The following is a DFT calculation (GGA-PBE) of a relaxed Cs3Dy2HfTe6 crystal.

Energy relative to the elements, uncorrected (eV/atom): -1.1909

abc: 7.6766 7.6766 9.3023
angles: 97.92 97.92 120.00
Last column: nearest neighbours and their distance in Å.
Fractional positions:
Cs (0.0000, 0.0000, 0.0000)  6 Te 3.75-3.86
Cs (0.3283, 0.6717, 0.0000)  6 Te 3.76-3.83
Cs (0.6717, 0.3283, 0.0000)  6 Te 3.76-3.83
Dy (0.1661, 0.8339, 0.5000)  6 Te 3.11
Dy (0.8339, 0.1661, 0.5000)  6 Te 3.11
Hf (0.5000, 0.5000, 0.5000)  6 Te 2.96-2.97
Te (0.1194, 0.4377, 0.3127)  1 Hf 2.96, 2 Dy 3.11
Te (0.2454, 0.2454, 0.6894)  1 Hf 2.97, 2 Dy 3.11
Te (0.4377, 0.1194, 0.3127)  1 Hf 2.96, 2 Dy 3.11
Te (0.5623, 0.8806, 0.6873)  1 Hf 2.96, 2 Dy 3.11
Te (0.7546, 0.7546, 0.3106)  1 Hf 2.97, 2 Dy 3.11
Te (0.8806, 0.5623, 0.6873)  1 Hf 2.96, 2 Dy 3.11

***

Entry 3:
The following is a DFT calculation (GGA-PBE) of a relaxed Cs2DyHgI6 crystal.

Energy relative to the elements, uncorrected (eV/atom): -1.1710

abc: 8.8547 8.8547 8.8547
angles: 119.88 119.88 90.20
Last column: nearest neighbours and their distance in Å.
Fractional positions:
Cs (0.2500, 0.7500, 0.5000)  12 I 4.43-4.44
Cs (0.7500, 0.2500, 0.5000)  12 I 4.43-4.44
Dy (0.0000, 0.0000, 0.0000)  6 I 3.03
Hg (0.5000, 0.5000, 0.0000)  6 I 3.22-3.25
I (0.2412, 0.2412, 0.4824)  1 Dy 3.03, 1 Hg 3.25
I (0.2412, 0.7588, 0.0000)  1 Dy 3.03, 1 Hg 3.25
I (0.2423, 0.2423, 0.0000)  1 Dy 3.03, 1 Hg 3.22
I (0.7577, 0.7577, 0.0000)  1 Dy 3.03, 1 Hg 3.22
I (0.7588, 0.2412, 0.0000)  1 Dy 3.03, 1 Hg 3.25
I (0.7588, 0.7588, 0.5176)  1 Dy 3.03, 1 Hg 3.25

***

Entry 4:
The following is a DFT calculation (GGA-PBE) of a relaxed CsDyHgTe3 crystal.

Energy relative to the elements, uncorrected (eV/atom): -0.9730

abc: 10.0431 4.5597 11.2498
angles: 90.00 111.09 90.00
Last column: nearest neighbours and their distance in Å.
Fractional positions:
Cs (0.2241, 0.2500, 0.2561)  7 Te 3.85-4.05
Cs (0.7759, 0.7500, 0.7439)  7 Te 3.85-4.05
Dy (0.3278, 0.7500, 0.8653)  6 Te 3.04-3.27
Dy (0.6722, 0.2500, 0.1347)  6 Te 3.04-3.27
Hg (0.0847, 0.2500, 0.6169)  4 Te 2.81-3.04
Hg (0.9153, 0.7500, 0.3831)  4 Te 2.81-3.04
Te (0.1153, 0.2500, 0.8750)  1 Hg 2.81
Te (0.2287, 0.7500, 0.5551)  3 Hg 2.92-3.04
Te (0.4724, 0.7500, 0.1537)  3 Dy 3.04-3.10
Te (0.5276, 0.2500, 0.8463)  3 Dy 3.04-3.10
Te (0.7713, 0.2500, 0.4449)  3 Hg 2.92-3.04
Te (0.8847, 0.7500, 0.1250)  1 Hg 2.81

***

Entry 5:
The following is a DFT calculation (GGA-PBE) of a relaxed Cs3Dy2HoSe6 crystal.

Energy relative to the elements, uncorrected (eV/atom): -1.7262

abc: 7.3804 7.3804 8.7258
angles: 98.10 98.10 120.00
Last column: nearest neighbours and their distance in Å.
Fractional positions:
Cs (0.0000, 0.0000, 0.0000)  6 Se 3.60-3.61
Cs (0.3330, 0.6670, 0.0000)  6 Se 3.60-3.61
Cs (0.6670, 0.3330, 0.0000)  6 Se 3.60-3.61
Dy (0.1666, 0.8334, 0.5000)  6 Se 2.91
Dy (0.8334, 0.1666, 0.5000)  6 Se 2.91
Ho (0.5000, 0.5000, 0.5000)  6 Se 2.90
Se (0.1060, 0.4383, 0.3149)  1 Ho 2.90, 2 Dy 2.91
Se (0.2294, 0.2294, 0.6853)  1 Ho 2.90, 2 Dy 2.91
Se (0.4383, 0.1060, 0.3149)  1 Ho 2.90, 2 Dy 2.91
Se (0.5617, 0.8940, 0.6851)  1 Ho 2.90, 2 Dy 2.91
Se (0.7706, 0.7706, 0.3147)  1 Ho 2.90, 2 Dy 2.91
Se (0.8940, 0.5617, 0.6851)  1 Ho 2.90, 2 Dy 2.91

***

Entry 6:
The following is a DFT calculation (GGA-PBE) of a relaxed Cs2DyHoSe4 crystal.

Energy relative to the elements, uncorrected (eV/atom): -1.7253

abc: 7.3764 4.2592 8.7238
angles: 90.00 106.36 90.00
Last column: nearest neighbours and their distance in Å.
Fractional positions:
Cs (0.0000, 0.0000, 0.0000)  6 Se 3.61
Cs (0.5000, 0.5000, 0.0000)  6 Se 3.60
Dy (0.0000, 0.5000, 0.5000)  6 Se 2.91
Ho (0.5000, 0.0000, 0.5000)  6 Se 2.90
Se (0.2292, 0.0000, 0.6852)  1 Ho 2.90, 2 Dy 2.91
Se (0.2727, 0.5000, 0.3152)  2 Ho 2.90, 1 Dy 2.91
Se (0.7273, 0.5000, 0.6848)  2 Ho 2.90, 1 Dy 2.91
Se (0.7708, 0.0000, 0.3148)  1 Ho 2.90, 2 Dy 2.91

***

Entry 7:
The following is a DFT calculation (GGA-PBE) of a relaxed Cs4Dy3HoTe8 crystal.

Energy relative to the elements, uncorrected (eV/atom): -1.3841

abc: 10.3507 10.3507 10.3507
angles: 52.16 52.16 52.16
Last column: nearest neighbours and their distance in Å.
Fractional positions:
Cs (0.0000, 0.0000, 0.0000)  6 Te 3.82
Cs (0.0000, 0.5000, 0.5000)  6 Te 3.82
Cs (0.5000, 0.0000, 0.5000)  6 Te 3.82
Cs (0.5000, 0.5000, 0.0000)  6 Te 3.82
Dy (0.0000, 0.0000, 0.5000)  6 Te 3.12-3.13
Dy (0.0000, 0.5000, 0.0000)  6 Te 3.12-3.13
Dy (0.5000, 0.0000, 0.0000)  6 Te 3.12-3.13
Ho (0.5000, 0.5000, 0.5000)  6 Te 3.12
Te (0.2299, 0.2299, 0.2299)  3 Dy 3.12
Te (0.2307, 0.7293, 0.7293)  1 Ho 3.12, 2 Dy 3.13
Te (0.2707, 0.2707, 0.7693)  1 Ho 3.12, 2 Dy 3.13
Te (0.2707, 0.7693, 0.2707)  1 Ho 3.12, 2 Dy 3.13
Te (0.7293, 0.2307, 0.7293)  1 Ho 3.12, 2 Dy 3.13
Te (0.7293, 0.7293, 0.2307)  1 Ho 3.12, 2 Dy 3.13
Te (0.7693, 0.2707, 0.2707)  1 Ho 3.12, 2 Dy 3.13
Te (0.7701, 0.7701, 0.7701)  3 Dy 3.12

***

Entry 8:
The following is a DFT calculation (GGA-PBE) of a relaxed CsDyI4 crystal.

Relative energy among the computed polymorphs (meV/atom): 0
Energy relative to the elements, uncorrected (eV/atom): -1.4576

abc: 10.7487 10.7487 7.9331
angles: 97.87 97.87 115.53
Last column: nearest neighbours and their distance in Å.
Fractional positions:
Cs (0.2481, 0.7519, 0.7500)  6 I 3.82-4.10
Cs (0.7519, 0.2481, 0.2500)  6 I 3.82-4.10
Dy (0.0655, 0.9345, 0.2500)  6 I 2.97-3.11
Dy (0.9345, 0.0655, 0.7500)  6 I 2.97-3.11
I (0.0047, 0.6470, 0.3010)  1 Dy 2.97
I (0.0936, 0.2075, 0.1320)  2 Dy 3.08-3.11
I (0.2075, 0.0936, 0.6320)  2 Dy 3.08-3.11
I (0.3530, 0.9953, 0.1990)  1 Dy 2.97
I (0.6470, 0.0047, 0.8010)  1 Dy 2.97
I (0.7925, 0.9064, 0.3680)  2 Dy 3.08-3.11
I (0.9064, 0.7925, 0.8680)  2 Dy 3.08-3.11
I (0.9953, 0.3530, 0.6990)  1 Dy 2.97

***

Going through the records in order, we get electronic total energy values of -4.85 -4.57 -2.76 -3.50 -4.83 -4.83 -4.32 -3.40 eV per atom.